Record 1
! PBE Sr2Zn3SnAu12, relaxed; values from VASP
&SYSTEM
  ibrav = 0, nat = 18, ntyp = 4
/
ATOMIC_SPECIES
Au 196.97 Au.upf
Sr 87.62 Sr.upf
Zn 65.41 Zn.upf
Sn 118.71 Sn.upf
ATOMIC_POSITIONS angstrom
Au -7.902 -7.082 8.000
Au -6.639 -8.183 11.784
Au -9.180 -12.583 14.454
Au -5.460 -8.102 9.009
Au -8.004 -9.560 9.719
Au -9.082 -7.163 10.776
Au -12.216 -11.316 13.201
Au -2.326 -3.949 6.583
Au -10.520 -9.605 15.768
Au -4.021 -5.660 4.017
Au -6.538 -5.705 10.065
Au -5.361 -2.682 5.330
Sr -9.355 -9.820 12.727
Sr -5.187 -5.445 7.057
Zn -2.542 -4.100 2.010
Zn -3.875 -1.136 3.317
Zn -0.854 -2.397 4.565
Sn 0.000 0.000 0.000
CELL_PARAMETERS angstrom
-5.083 -8.200 4.020
-1.708 -4.794 9.129
-7.750 -2.271 6.634
! formation energy	-230	meV per atom
! size of the total moment	0.00	μB/f.u.

---

Record 2
! PBE SrZn2SnAu5, relaxed; values from VASP
&SYSTEM
  ibrav = 0, nat = 9, ntyp = 4
/
ATOMIC_SPECIES
Au 196.97 Au.upf
Zn 65.41 Zn.upf
Sr 87.62 Sr.upf
Sn 118.71 Sn.upf
ATOMIC_POSITIONS angstrom
Au -1.248 4.543 4.393
Au -4.386 3.596 3.054
Au -2.348 1.492 4.448
Au -2.691 0.167 1.507
Au 0.447 1.114 2.846
Zn -3.429 3.680 5.435
Zn -1.266 -0.697 3.461
Sr -1.591 3.218 1.451
Sn 0.000 0.000 0.000
CELL_PARAMETERS angstrom
-3.895 -2.673 1.658
2.380 -0.779 4.335
-3.181 6.436 2.903
! formation energy	-248	meV per atom
! size of the total moment	0.00	μB/f.u.

---

Record 3
! PBE Sr2ZnSnAu6, relaxed; values from VASP
&SYSTEM
  ibrav = 0, nat = 10, ntyp = 4
/
ATOMIC_SPECIES
Zn 65.41 Zn.upf
Au 196.97 Au.upf
Sn 118.71 Sn.upf
Sr 87.62 Sr.upf
ATOMIC_POSITIONS angstrom
Zn -4.373 0.782 -3.093
Au -4.813 -0.056 -0.649
Au -8.383 3.475 -4.168
Au -11.216 6.356 -6.089
Au -2.234 0.477 -1.609
Au -8.638 6.890 -7.050
Au -5.068 3.359 -3.530
Sn 0.000 0.000 0.000
Sr -6.996 2.397 -1.034
Sr -6.454 4.437 -6.665
CELL_PARAMETERS angstrom
-3.567 2.629 -8.118
-5.178 -1.065 1.933
-4.705 5.270 -1.513
! formation energy	-464	meV per atom
! size of the total moment	0.00	μB/f.u.